DFT (SCAN) results for a PBEsol-optimized structure of Sr2AgIr.

```
data_Sr2AgIr
_space_group_name_H-M_alt 'I -4 m 2'
_space_group_IT_number 119
_space_group_name_Hall 'I -4 -2'
_cell_length_a 4.4531
_cell_length_b 4.4531
_cell_length_c 9.4985
_cell_angle_alpha 90.00
_cell_angle_beta 90.00
_cell_angle_gamma 90.00
loop_
_atom_site_label
_atom_site_type_symbol
_atom_site_fract_x
_atom_site_fract_y
_atom_site_fract_z
_atom_site_occupancy
Sr1 Sr 0.0000 0.0000 0.0000 1
Sr2 Sr 0.0000 0.5000 0.2500 1
Ag1 Ag 0.0000 0.0000 0.5000 1
Ir1 Ir 0.0000 0.5000 0.7500 1
```

Results
energy of formation from the pure elements	0.26	eV/f.u.
ρ	8.381	g/cm3